Record 1
Here is a relaxed structure of LaTc from the Alexandria database. Energies are from GGA-PBE.

Structure (CIF):
```
data_LaTc
_space_group_name_H-M_alt 'R -3 m'
_space_group_IT_number 166
_space_group_name_Hall '-R 3 2"'
_cell_length_a 3.4822
_cell_length_b 3.4822
_cell_length_c 13.1007
_cell_angle_alpha 90.00
_cell_angle_beta 90.00
_cell_angle_gamma 120.00
loop_
_atom_site_label
_atom_site_type_symbol
_atom_site_fract_x
_atom_site_fract_y
_atom_site_fract_z
_atom_site_occupancy
La1 La 0.0000 0.0000 0.0000 1
Tc1 Tc 0.0000 0.0000 0.5000 1
```

## Properties
final energy = -7.0532 eV/atom
ΔE to the lowest computed polymorph = 563 meV per atom
ΔE_f = 0.593 eV per atom
magnetic moment = 0.0 μB per formula unit
crystal system = trigonal

Record 2
Here is a relaxed structure of LaTc from the Alexandria database. Energies are from GGA-PBE.

Structure (CIF):
```
data_LaTc
_space_group_name_H-M_alt 'P m m n'
_space_group_IT_number 59
_cell_length_a 3.474
_cell_length_b 5.430
_cell_length_c 4.536
_cell_angle_alpha 90.00
_cell_angle_beta 90.00
_cell_angle_gamma 90.00
loop_
_space_group_symop_operation_xyz
'x,y,z'
'-x,-y,-z'
'-x+1/2,-y+1/2,z'
'x+1/2,y+1/2,-z'
'x+1/2,-y,-z'
'-x+1/2,y,z'
'-x,y+1/2,-z'
'x,-y+1/2,z'
loop_
_atom_site_label
_atom_site_type_symbol
_atom_site_fract_x
_atom_site_fract_y
_atom_site_fract_z
_atom_site_occupancy
La1 La 0.250 0.250 0.001 1
Tc1 Tc 0.250 0.750 0.500 1
```

## Properties
final energy = -7.1755 eV/atom
ΔE to the lowest computed polymorph = 440 meV per atom
ΔE_f = 0.471 eV per atom
magnetic moment = 0.0 μB per formula unit
crystal system = orthorhombic

Record 3
Here is a relaxed structure of LaTc from the Alexandria database. Energies are from GGA-PBE.

Structure (CIF):
```
data_LaTc
_space_group_name_H-M_alt 'P 21 3'
_space_group_IT_number 198
_space_group_name_Hall 'P 2ac 2ab 3'
_cell_length_a 5.646
_cell_length_b 5.646
_cell_length_c 5.646
_cell_angle_alpha 90.00
_cell_angle_beta 90.00
_cell_angle_gamma 90.00
loop_
_atom_site_label
_atom_site_type_symbol
_atom_site_fract_x
_atom_site_fract_y
_atom_site_fract_z
_atom_site_occupancy
La1 La 0.084 0.416 0.584 1
Tc1 Tc 0.091 0.909 0.409 1
```

## Properties
final energy = -7.0864 eV/atom
ΔE to the lowest computed polymorph = 529 meV per atom
ΔE_f = 0.560 eV per atom
magnetic moment = 0.0 μB per formula unit
crystal system = cubic